The following is a PBE calculation of crystalline Pr2MnAl at its relaxed geometry, from Alexandria.

SG: P4/mmm (123)
Energy of formation from the pure elements, eV per formula unit: 0.06

Cell lengths 4.1538, 4.9866, 4.9866 Å; angles 90.00, 90.00, 90.00 degrees
Site moments in Bohr magnetons follow the coordinates.
Fractional coordinates of all 4 atoms:
Pr  0.0000  0.0000  0.5000  -0.21
Pr  0.0000  0.5000  0.0000  -0.21
Mn  0.5000  0.0000  0.0000  3.67
Al  0.5000  0.5000  0.5000  -0.01

The following is a PBE calculation of crystalline TaTeMo2 at its relaxed geometry, from Alexandria.

SG: C2/m (12)
Raw formation energy, eV/atom: 0.328

Cell lengths 4.8904, 4.8904, 4.8965 Å; angles 78.29, 78.29, 39.22 degrees
Fractional coordinates of all 4 atoms:
Mo  0.9946  0.9946  0.0163
Mo  0.5054  0.5054  0.4837
Ta  0.2500  0.2500  0.2500
Te  0.7500  0.7500  0.7500

The following is a PBE calculation of crystalline In2FeOs at its relaxed geometry, from Alexandria.

SG: Cmmm (65)
Energy of formation from the pure elements, eV per formula unit: 1.84

Cell lengths 4.5705, 4.5705, 3.2191 Å; angles 90.00, 90.00, 89.63 degrees
Site moments in Bohr magnetons follow the coordinates.
Fractional coordinates of all 4 atoms:
Fe  0.0000  0.5000  0.5000  2.32
In  0.0000  0.0000  0.0000  -0.06
In  0.5000  0.5000  0.0000  -0.06
Os  0.5000  0.0000  0.5000  -0.05

no.,spin magnetization (μB per formula unit)
1,3.118
2,0.000
3,2.104